1.
# YEr2Co | the Alexandria database | PBE-GGA | optimized geometry
data_YEr2Co
_chemical_formula_sum 'Y1 Er2 Co1'
_cell_length_a 9.109
_cell_length_b 9.109
_cell_length_c 9.109
_cell_angle_alpha 23.74
_cell_angle_beta 23.74
_cell_angle_gamma 23.74
_space_group_name_H-M_alt 'P 1'
_space_group_IT_number 1
loop_
_space_group_symop_operation_xyz
'x,y,z'
loop_
_atom_site_label
_atom_site_type_symbol
_atom_site_fract_x
_atom_site_fract_y
_atom_site_fract_z
Y1 Y 0.000 0.000 0.000
Er1 Er 0.555 0.555 0.555
Er2 Er 0.775 0.775 0.775
Co1 Co 0.165 0.165 0.165
# - Energy of formation: -0.02 eV/atom
# - Crystal system: trigonal
# - Distance to the lowest polymorph of the same formula: 154 meV per atom
# - VASP energy: -5.694 eV/atom

---

2.
# YEr2Co | the Alexandria database | PBE-GGA | optimized geometry
data_YEr2Co
_chemical_formula_sum 'Y1 Er2 Co1'
_cell_length_a 3.374
_cell_length_b 3.374
_cell_length_c 8.814
_cell_angle_alpha 90.00
_cell_angle_beta 90.00
_cell_angle_gamma 90.00
_space_group_name_H-M_alt 'P 1'
_space_group_IT_number 1
loop_
_space_group_symop_operation_xyz
'x,y,z'
loop_
_atom_site_label
_atom_site_type_symbol
_atom_site_fract_x
_atom_site_fract_y
_atom_site_fract_z
Y1 Y 0.000 0.000 0.000
Er1 Er 0.500 0.500 0.318
Er2 Er 0.500 0.500 0.682
Co1 Co 0.000 0.000 0.500
# - Energy of formation: -0.08 eV/atom
# - Crystal system: tetragonal
# - Distance to the lowest polymorph of the same formula: 98 meV per atom
# - VASP energy: -5.751 eV/atom

---

3.
# YEr6Co2 | the Alexandria database | PBE-GGA | optimized geometry
data_YEr6Co2
_chemical_formula_sum 'Y2 Er12 Co4'
_cell_length_a 8.435
_cell_length_b 8.435
_cell_length_c 8.435
_cell_angle_alpha 112.06
_cell_angle_beta 108.93
_cell_angle_gamma 107.46
_space_group_name_H-M_alt 'P 1'
_space_group_IT_number 1
loop_
_space_group_symop_operation_xyz
'x,y,z'
loop_
_atom_site_label
_atom_site_type_symbol
_atom_site_fract_x
_atom_site_fract_y
_atom_site_fract_z
Y1 Y 0.000 0.000 0.000
Y2 Y 0.500 0.500 0.000
Er1 Er 0.026 0.242 0.784
Er2 Er 0.186 0.287 0.473
Er3 Er 0.186 0.713 0.899
Er4 Er 0.318 0.003 0.685
Er5 Er 0.318 0.633 0.315
Er6 Er 0.458 0.242 0.216
Er7 Er 0.542 0.758 0.784
Er8 Er 0.682 0.367 0.685
Er9 Er 0.682 0.997 0.315
Er10 Er 0.814 0.287 0.101
Er11 Er 0.814 0.713 0.527
Er12 Er 0.974 0.758 0.216
Co1 Co 0.113 0.613 0.500
Co2 Co 0.309 0.000 0.309
Co3 Co 0.691 0.000 0.691
Co4 Co 0.887 0.387 0.500
# - Energy of formation: -0.08 eV/atom
# - Crystal system: orthorhombic
# - VASP energy: -5.418 eV/atom

---

4.
# Y2ErCo | the Alexandria database | PBE-GGA | optimized geometry
data_Y2ErCo
_chemical_formula_sum 'Y2 Er1 Co1'
_cell_length_a 3.423
_cell_length_b 3.423
_cell_length_c 8.745
_cell_angle_alpha 90.00
_cell_angle_beta 90.00
_cell_angle_gamma 90.00
_space_group_name_H-M_alt 'P 1'
_space_group_IT_number 1
loop_
_space_group_symop_operation_xyz
'x,y,z'
loop_
_atom_site_label
_atom_site_type_symbol
_atom_site_fract_x
_atom_site_fract_y
_atom_site_fract_z
Y1 Y 0.000 0.000 0.186
Y2 Y 0.000 0.000 0.814
Er1 Er 0.500 0.500 0.500
Co1 Co 0.500 0.500 0.000
# - Energy of formation: -0.03 eV/atom
# - Crystal system: tetragonal
# - Distance to the lowest polymorph of the same formula: 133 meV per atom
# - VASP energy: -6.176 eV/atom

---

5.
# Y3ErCo8 | the Alexandria database | PBE-GGA | optimized geometry
data_Y3ErCo8
_chemical_formula_sum 'Y3 Er1 Co8'
_cell_length_a 8.788
_cell_length_b 8.788
_cell_length_c 8.788
_cell_angle_alpha 33.54
_cell_angle_beta 33.54
_cell_angle_gamma 33.54
_space_group_name_H-M_alt 'P 1'
_space_group_IT_number 1
loop_
_space_group_symop_operation_xyz
'x,y,z'
loop_
_atom_site_label
_atom_site_type_symbol
_atom_site_fract_x
_atom_site_fract_y
_atom_site_fract_z
Y1 Y 0.000 0.000 0.000
Y2 Y 0.125 0.125 0.125
Y3 Y 0.625 0.625 0.625
Er1 Er 0.500 0.500 0.500
Co1 Co 0.062 0.062 0.562
Co2 Co 0.062 0.562 0.062
Co3 Co 0.064 0.562 0.562
Co4 Co 0.313 0.313 0.313
Co5 Co 0.562 0.062 0.062
Co6 Co 0.562 0.064 0.562
Co7 Co 0.562 0.562 0.064
Co8 Co 0.813 0.813 0.813
# - Energy of formation: -0.20 eV/atom
# - Crystal system: trigonal
# - VASP energy: -6.929 eV/atom

---

6.
# YErCo4 | the Alexandria database | PBE-GGA | optimized geometry
data_YErCo4
_chemical_formula_sum 'Y1 Er1 Co4'
_cell_length_a 5.062
_cell_length_b 5.062
_cell_length_c 5.062
_cell_angle_alpha 60.00
_cell_angle_beta 60.00
_cell_angle_gamma 60.00
_space_group_name_H-M_alt 'P 1'
_space_group_IT_number 1
loop_
_space_group_symop_operation_xyz
'x,y,z'
loop_
_atom_site_label
_atom_site_type_symbol
_atom_site_fract_x
_atom_site_fract_y
_atom_site_fract_z
Y1 Y 0.000 0.000 0.000
Er1 Er 0.750 0.750 0.750
Co1 Co 0.375 0.375 0.375
Co2 Co 0.375 0.375 0.874
Co3 Co 0.375 0.874 0.375
Co4 Co 0.874 0.375 0.375
# - Energy of formation: -0.21 eV/atom
# - Crystal system: cubic
# - VASP energy: -6.788 eV/atom